Record 1
## Ac4HgPtI2 (PBE)

Data for a geometry-optimized Ac4HgPtI2 structure.

Summary:
Uncorrected energy, eV/atom: -4.166
Crystal system: monoclinic
Space group: P2/m

a b c (Å): 4.5198 8.1477 8.9089
angles (deg): 107.18 90.00 90.00
Positions (direct):
Ac 0.5000 0.2627 0.2033
Ac 0.5000 0.7373 0.7967
Ac 0.0000 0.2793 0.8088
Ac 0.0000 0.7207 0.1912
Hg 0.0000 0.0000 0.0000
Pt 0.5000 0.5000 0.0000
I 0.5000 0.0000 0.5000
I 0.0000 0.5000 0.5000



Record 2
## Ac8HgPt3I4 (PBE)

Data for a geometry-optimized Ac8HgPt3I4 structure.

Summary:
Uncorrected energy, eV/atom: -4.669
Crystal system: trigonal
Space group: R-3m

a b c (Å): 9.1127 10.0767 9.1129
angles (deg): 116.90 120.00 90.00
Positions (direct):
Ac 0.2383 0.6883 0.9503
Ac 0.2382 0.6884 0.4765
Ac 0.2701 0.3106 0.5402
Ac 0.7120 0.6883 0.9503
Ac 0.2880 0.3117 0.0497
Ac 0.7299 0.6894 0.4598
Ac 0.7618 0.3116 0.5235
Ac 0.7617 0.3117 0.0497
Hg 0.0000 0.5000 0.0000
Pt 0.5000 0.5000 0.0000
Pt 0.5000 0.5000 0.5000
Pt 0.0000 0.5000 0.5000
I 0.5000 0.0000 0.0000
I 0.5000 0.0000 0.5000
I 0.0000 0.0000 0.0000
I 0.0000 0.0000 0.5000



Record 3
## Ac6HgRh2I3 (PBE)

Data for a geometry-optimized Ac6HgRh2I3 structure.

Summary:
Uncorrected energy, eV/atom: -4.611
Crystal system: monoclinic
Space group: C2/m

a b c (Å): 7.8039 7.8039 9.0266
angles (deg): 98.32 98.32 119.96
Positions (direct):
Ac 0.9365 0.5777 0.8103
Ac 0.7044 0.7044 0.1890
Ac 0.0635 0.4223 0.1897
Ac 0.5777 0.9365 0.8103
Ac 0.2956 0.2956 0.8110
Ac 0.4223 0.0635 0.1897
Hg 0.0000 0.0000 0.0000
Rh 0.3330 0.6670 0.0000
Rh 0.6670 0.3330 0.0000
I 0.1632 0.8368 0.5000
I 0.8368 0.1632 0.5000
I 0.5000 0.5000 0.5000



Record 4
## Ac4Hg2RhI (PBE)

Data for a geometry-optimized Ac4Hg2RhI structure.

Summary:
Uncorrected energy, eV/atom: -3.850
Crystal system: monoclinic
Space group: P2/m

a b c (Å): 4.3874 8.4125 8.3416
angles (deg): 106.05 90.00 90.00
Positions (direct):
Ac 0.5000 0.2876 0.2353
Ac 0.5000 0.7124 0.7647
Ac 0.0000 0.3000 0.7852
Ac 0.0000 0.7000 0.2148
Hg 0.5000 0.0000 0.5000
Hg 0.0000 0.5000 0.5000
Rh 0.5000 0.5000 0.0000
I 0.0000 0.0000 0.0000



Record 5
## Ac8HgRh3I4 (PBE)

Data for a geometry-optimized Ac8HgRh3I4 structure.

Summary:
Uncorrected energy, eV/atom: -4.773
Crystal system: trigonal
Space group: R-3m

a b c (Å): 8.9720 10.0641 8.9721
angles (deg): 116.50 120.00 90.00
Positions (direct):
Ac 0.2395 0.6864 0.9475
Ac 0.2393 0.6863 0.4786
Ac 0.2705 0.3121 0.5410
Ac 0.7081 0.6864 0.9475
Ac 0.2919 0.3136 0.0525
Ac 0.7295 0.6879 0.4590
Ac 0.7607 0.3137 0.5214
Ac 0.7605 0.3136 0.0525
Hg 0.0000 0.5000 0.0000
Rh 0.5000 0.5000 0.0000
Rh 0.5000 0.5000 0.5000
Rh 0.0000 0.5000 0.5000
I 0.5000 0.0000 0.0000
I 0.5000 0.0000 0.5000
I 0.0000 0.0000 0.0000
I 0.0000 0.0000 0.5000



Record 6
## Ac4HgRuI2 (PBE)

Data for a geometry-optimized Ac4HgRuI2 structure.

Summary:
Uncorrected energy, eV/atom: -4.379
Crystal system: monoclinic
Space group: P2/m

a b c (Å): 4.4111 8.0952 9.0450
angles (deg): 106.27 90.00 90.00
Positions (direct):
Ac 0.5000 0.2728 0.1965
Ac 0.5000 0.7272 0.8035
Ac 0.0000 0.2876 0.8146
Ac 0.0000 0.7124 0.1854
Hg 0.0000 0.0000 0.0000
Ru 0.5000 0.5000 0.0000
I 0.5000 0.0000 0.5000
I 0.0000 0.5000 0.5000



Record 7
## Ac6Hg2RuI3 (PBE)

Data for a geometry-optimized Ac6Hg2RuI3 structure.

Summary:
Uncorrected energy, eV/atom: -4.001
Crystal system: monoclinic
Space group: C2/m

a b c (Å): 7.9645 7.9645 8.9141
angles (deg): 98.71 98.71 118.96
Positions (direct):
Ac 0.9346 0.6302 0.8041
Ac 0.7687 0.7687 0.2022
Ac 0.0654 0.3698 0.1959
Ac 0.6302 0.9346 0.8041
Ac 0.2313 0.2313 0.7978
Ac 0.3698 0.0654 0.1959
Hg 0.3367 0.6633 0.0000
Hg 0.6633 0.3367 0.0000
Ru 0.0000 0.0000 0.0000
I 0.1713 0.8287 0.5000
I 0.8287 0.1713 0.5000
I 0.5000 0.5000 0.5000



Record 8
## Ac6Si2HgI3 (PBE)

Data for a geometry-optimized Ac6Si2HgI3 structure.

Summary:
Uncorrected energy, eV/atom: -4.205
Crystal system: monoclinic
Space group: C2/m

a b c (Å): 4.6144 9.7770 10.7505
angles (deg): 105.30 102.39 90.00
Positions (direct):
Ac 0.3371 0.8814 0.6742
Ac 0.6777 0.5559 0.3554
Ac 0.6629 0.1186 0.3258
Ac 0.0142 0.2358 0.0285
Ac 0.9858 0.7642 0.9715
Ac 0.3223 0.4441 0.6446
Si 0.8315 0.6645 0.6631
Si 0.1685 0.3355 0.3369
Hg 0.5000 0.0000 0.0000
I 0.5000 0.5000 0.0000
I 0.8347 0.1699 0.6694
I 0.1653 0.8301 0.3306



> Number 3 is which compound?

Ac6HgRh2I3